No. 1
{
  "formula": "CaPu2Sb3",
  "functional": "GGA-PBE",
  "state": "relaxed",
  "final_energy_ev_per_fu": -47.0,
  "spacegroup": "No. 71",
  "dos_ef_per_ev_atom": 4.9106,
  "magnetic_moment_mub_per_cell": 9.44,
  "cell": [[-4.0613, 1.1471, -1.4710], [1.6733, -1.5553, -5.8327], [-0.9549, -6.0545, 4.7043]],
  "species": ["Ca", "Pu", "Pu", "Sb", "Sb", "Sb"],
  "frac_coords": [[0.0000, 0.5000, 0.0000], [0.6631, 0.1631, 0.3262], [0.3369, 0.8369, 0.6738], [0.3237, 0.3237, 0.6474], [0.0000, 0.0000, 0.0000], [0.6763, 0.6763, 0.3526]]
}

=====

No. 2
{
  "formula": "LiAcPbS3",
  "functional": "GGA-PBE",
  "state": "relaxed",
  "final_energy_ev_per_fu": -30.5,
  "spacegroup": "No. 11",
  "dos_ef_per_ev_atom": 0.0000,
  "magnetic_moment_mub_per_cell": 0.00,
  "cell": [[4.0926, 0.0000, 0.0000], [0.0000, 8.7636, 0.4087], [0.0000, -1.9014, 8.6598]],
  "species": ["Li", "Li", "Ac", "Ac", "Pb", "Pb", "S", "S", "S", "S", "S", "S"],
  "frac_coords": [[0.2500, 0.0947, 0.5909], [0.7500, 0.9053, 0.4091], [0.2500, 0.1651, 0.2199], [0.7500, 0.8349, 0.7801], [0.2500, 0.6531, 0.1689], [0.7500, 0.3469, 0.8311], [0.7500, 0.8983, 0.1320], [0.2500, 0.1017, 0.8680], [0.2500, 0.8151, 0.5209], [0.7500, 0.1849, 0.4791], [0.7500, 0.4008, 0.1553], [0.2500, 0.5992, 0.8447]]
}

=====

No. 3
{
  "formula": "Eu2HfTl",
  "functional": "GGA-PBE",
  "state": "relaxed",
  "delta_e_f_ev_per_atom": 0.3637,
  "spacegroup": "No. 166",
  "dos_ef_per_ev_atom": 1.3794,
  "magnetic_moment_mub_per_cell": 15.63,
  "cell": [[-0.3432, -3.3160, -0.5512], [2.1557, -2.1807, 1.4195], [-6.6087, -2.6881, 9.9286]],
  "species": ["Eu", "Eu", "Tl", "Hf"],
  "frac_coords": [[0.0878, 0.0878, 0.7366], [0.9122, 0.9122, 0.2634], [0.5000, 0.5000, 0.5000], [0.0000, 0.0000, 0.0000]]
}

=====

No. 4
{
  "formula": "Li5In2Hg4",
  "functional": "GGA-PBE",
  "state": "relaxed",
  "delta_e_f_ev_per_atom": -0.2940,
  "spacegroup": "No. 55",
  "dos_ef_per_ev_atom": 0.3806,
  "magnetic_moment_mub_per_cell": 0.00,
  "cell": [[-1.5302, -2.2023, -1.9078], [6.5415, -1.8644, -3.0945], [2.3466, -12.3983, 12.4304]],
  "species": ["Li", "Li", "Li", "Li", "Li", "Li", "Li", "Li", "Li", "Li", "In", "In", "In", "In", "Hg", "Hg", "Hg", "Hg", "Hg", "Hg", "Hg", "Hg"],
  "frac_coords": [[0.0000, 0.1117, 0.5723], [0.0000, 0.8883, 0.4277], [0.0000, 0.3883, 0.0723], [0.0000, 0.6117, 0.9277], [0.0000, 0.1997, 0.8235], [0.0000, 0.8003, 0.1765], [0.0000, 0.3003, 0.3235], [0.0000, 0.6997, 0.6765], [0.0000, 0.0000, 0.0000], [0.0000, 0.5000, 0.5000], [0.5000, 0.0268, 0.7063], [0.5000, 0.9732, 0.2937], [0.5000, 0.4732, 0.2063], [0.5000, 0.5268, 0.7937], [0.5000, 0.2994, 0.9470], [0.5000, 0.7006, 0.0530], [0.5000, 0.2006, 0.4470], [0.5000, 0.7994, 0.5530], [0.5000, 0.3956, 0.6309], [0.5000, 0.6044, 0.3691], [0.5000, 0.1044, 0.1309], [0.5000, 0.8956, 0.8691]]
}

=====

No. 5
{
  "formula": "Ba2ZnCdH6",
  "functional": "GGA-PBE",
  "state": "relaxed",
  "final_energy_ev_per_fu": -27.8,
  "spacegroup": "No. 12",
  "dos_ef_per_ev_atom": 0.2831,
  "magnetic_moment_mub_per_cell": 0.00,
  "cell": [[5.9153, -0.0274, -0.0038], [-0.0274, 5.9228, -0.0055], [2.9410, 2.9437, 4.1264]],
  "species": ["Ba", "Ba", "Zn", "Cd", "H", "H", "H", "H", "H", "H"],
  "frac_coords": [[0.7506, 0.2497, 0.4998], [0.2494, 0.7503, 0.5002], [0.5000, 0.5000, 0.0000], [0.0000, 0.0000, 0.0000], [0.2767, 0.2768, 0.4433], [0.7205, 0.7202, 0.9997], [0.2806, 0.7191, 0.0001], [0.7194, 0.2809, 0.9999], [0.2795, 0.2798, 0.0003], [0.7233, 0.7232, 0.5567]]
}

=====

No. 6
{
  "formula": "NiHgP2",
  "functional": "GGA-PBE",
  "state": "relaxed",
  "delta_e_f_ev_per_atom": 0.3922,
  "spacegroup": "No. 44",
  "dos_ef_per_ev_atom": 0.4319,
  "magnetic_moment_mub_per_cell": 0.00,
  "cell": [[-4.6087, 1.2634, -2.2105], [-1.9442, -4.8853, 0.2771], [1.3905, 4.2804, 2.7326]],
  "species": ["Hg", "Ni", "P", "P"],
  "frac_coords": [[0.4874, 0.4874, 0.0000], [0.2024, 0.7024, 0.5000], [0.0023, 0.0023, 0.0000], [0.8080, 0.3080, 0.5000]]
}

=====

No. 7
{
  "formula": "NaNd2PuO6",
  "functional": "GGA-PBE",
  "state": "relaxed",
  "final_energy_ev_per_fu": -83.9,
  "spacegroup": "No. 146",
  "dos_ef_per_ev_atom": 1.0486,
  "magnetic_moment_mub_per_cell": 3.00,
  "cell": [[5.9879, 0.0000, 0.0001], [2.9940, 5.1856, -0.0001], [2.9939, 1.7287, 5.1361]],
  "species": ["Na", "Nd", "Nd", "Pu", "O", "O", "O", "O", "O", "O"],
  "frac_coords": [[0.8033, 0.8033, 0.5900], [0.5323, 0.5323, 0.4032], [0.0238, 0.0238, 0.9286], [0.3181, 0.3181, 0.0457], [0.5897, 0.2159, 0.2417], [0.2159, 0.9527, 0.2417], [0.9527, 0.5897, 0.2418], [0.4062, 0.6804, 0.7742], [0.6804, 0.1391, 0.7742], [0.1391, 0.4063, 0.7742]]
}

=====

No. 8
{
  "formula": "MgPaPb2",
  "functional": "GGA-PBE",
  "state": "relaxed",
  "delta_e_f_ev_per_atom": 0.1617,
  "spacegroup": "No. 225",
  "dos_ef_per_ev_atom": 0.9471,
  "e_above_lowest_polymorph_ev_per_atom": 0.200,
  "magnetic_moment_mub_per_cell": 0.23,
  "cell": [[5.3351, 0.0000, 0.0000], [2.6676, 4.6204, 0.0000], [2.6676, 1.5401, 4.3561]],
  "species": ["Pb", "Pb", "Mg", "Pa"],
  "frac_coords": [[0.2500, 0.2500, 0.2500], [0.7500, 0.7500, 0.7500], [0.5000, 0.5000, 0.5000], [0.0000, 0.0000, 0.0000]]
}

=====

No. 9
{
  "formula": "TbScPt2",
  "functional": "GGA-PBE",
  "state": "relaxed",
  "delta_e_f_ev_per_atom": -1.2136,
  "spacegroup": "No. 11",
  "dos_ef_per_ev_atom": 0.7053,
  "e_above_lowest_polymorph_ev_per_atom": 0.000,
  "magnetic_moment_mub_per_cell": 0.00,
  "cell": [[4.5501, 0.0000, 0.0000], [0.0000, 5.3686, -2.1157], [0.0000, -0.8594, 6.9590]],
  "species": ["Tb", "Tb", "Sc", "Sc", "Pt", "Pt", "Pt", "Pt"],
  "frac_coords": [[0.2500, 0.2830, 0.1101], [0.7500, 0.7170, 0.8899], [0.7500, 0.7619, 0.3930], [0.2500, 0.2381, 0.6070], [0.2500, 0.8396, 0.2024], [0.7500, 0.1604, 0.7976], [0.7500, 0.2785, 0.3928], [0.2500, 0.7215, 0.6072]]
}

=====

No. 10
{
  "formula": "MnRu2Rh",
  "functional": "GGA-PBE",
  "state": "relaxed",
  "delta_e_f_ev_per_atom": 0.0322,
  "spacegroup": "No. 8",
  "dos_ef_per_ev_atom": 1.0515,
  "magnetic_moment_mub_per_cell": 2.34,
  "cell": [[4.6483, -0.0059, -0.0160], [3.8642, 2.5836, -0.0160], [0.7999, 0.2422, 4.5531]],
  "species": ["Mn", "Rh", "Ru", "Ru"],
  "frac_coords": [[0.4992, 0.4992, 0.4973], [0.2502, 0.2502, 0.2560], [0.0008, 0.0008, 0.9894], [0.7498, 0.7498, 0.7572]]
}

=====

No. 11
{
  "formula": "CdHg4Ru",
  "functional": "GGA-PBE",
  "state": "relaxed",
  "delta_e_f_ev_per_atom": 0.6903,
  "spacegroup": "No. 216",
  "dos_ef_per_ev_atom": 0.8829,
  "magnetic_moment_mub_per_cell": 0.61,
  "cell": [[0.0000, 4.0369, 4.0369], [4.0369, 0.0000, 4.0369], [4.0369, 4.0369, 0.0000]],
  "species": ["Cd", "Hg", "Hg", "Hg", "Hg", "Ru"],
  "frac_coords": [[0.0000, 0.0000, 0.0000], [0.8735, 0.3755, 0.3755], [0.3755, 0.3755, 0.8735], [0.3755, 0.8735, 0.3755], [0.3755, 0.3755, 0.3755], [0.7500, 0.7500, 0.7500]]
}